[1]
This record from Alexandria describes a relaxed structure of ScOs2. The functional is PBE.

- Space group: P-3m1 (164)

Unit cell a=2.871 b=2.871 c=6.772 alpha=90.00 beta=90.00 gamma=120.00
Fractional positions:
Sc1 0.000 0.000 0.000
Os1 0.333 0.667 0.654
Os2 0.667 0.333 0.346

[2]
This record from Alexandria describes a relaxed structure of Sc5Os3. The functional is PBE.

- Space group: Cmmm (65)

Unit cell a=5.773 b=5.773 c=4.514 alpha=90.00 beta=90.00 gamma=108.22
Fractional positions:
Sc1 0.000 0.000 0.000
Sc2 0.000 0.500 0.000
Sc3 0.277 0.277 0.500
Sc4 0.500 0.000 0.000
Sc5 0.723 0.723 0.500
Os1 0.232 0.768 0.500
Os2 0.500 0.500 0.000
Os3 0.768 0.232 0.500

Number 1: VASP energy -9.42 eV per atom. Number 2: VASP energy -8.46 eV per atom.